Material: Ho3Hg4Pd2
Method: DFT, PBE
State: optimized geometry

extended XYZ file:
```
18
Lattice="7.084 -5.527 0.000 7.084 5.527 0.000 -0.938 0.000 5.194" Properties=species:S:1:pos:R:3 pbc="T T T"
Ho 6.380 4.327 3.895
Ho 3.852 1.503 4.767
Ho 4.322 -1.503 2.171
Ho 8.908 1.503 3.023
Ho 9.377 -1.503 0.426
Ho 6.849 -4.327 1.298
Hg 2.722 1.236 1.883
Hg 5.827 1.496 2.441
Hg 2.253 -1.236 4.480
Hg 7.872 1.496 0.156
Hg 5.358 -1.496 5.038
Hg 10.976 1.236 0.714
Hg 7.403 -1.496 2.753
Hg 10.507 -1.236 3.311
Pd 5.342 4.110 0.962
Pd 8.357 4.110 1.635
Pd 4.873 -4.110 3.559
Pd 7.888 -4.110 4.232
```

Results
For the total energy, the calculation gives -60.08 eV for the cell shown. Its space-group type is No. 15. As for the magnetization: 0.00 μB per formula unit.